The following is a PBE-GGA calculation of LiCrBi3 after structural relaxation, from Alexandria.

Magnetization = 2.281 μB/cell
Formation energy from the elements = 0.33 eV per atom
Energy = -4.31 eV/atom
Offset from the most stable computed form = 0 meV per atom

abc: 5.3344 5.3344 5.3344
angles: 90.00 90.00 90.00
Last column: nearest neighbours and their distance in Å.
Sites, in units of the cell vectors:
Li  0.0000  0.0000  0.0000  12 Bi 3.77
Cr  0.5000  0.5000  0.5000  6 Bi 2.67
Bi  0.0000  0.5000  0.5000  2 Cr 2.67
Bi  0.5000  0.0000  0.5000  2 Cr 2.67
Bi  0.5000  0.5000  0.0000  2 Cr 2.67